Arrangement P

An optimized crystal structure of LiFeHPt2. Source: Alexandria via LeMat-Bulk, functional PBE.

Unit cell a=3.956 b=3.956 c=3.778 alpha=90.00 beta=90.00 gamma=90.00
Fractional coordinates of all 5 atoms:
1 Li 0.000 0.000 0.000
2 Fe 0.500 0.500 0.000
3 H 0.500 0.500 0.500
4 Pt 0.000 0.500 0.500
5 Pt 0.500 0.000 0.500

Density of states at the Fermi level ... 2.98 states/eV/cell
Total moment ... 3.565 μB per cell
Symmetry ... P4/mmm (123)

=====

Arrangement Q

An optimized crystal structure of LiFeHPt2. Source: Alexandria via LeMat-Bulk, functional PBE.

Unit cell a=3.954 b=3.954 c=3.746 alpha=90.00 beta=90.00 gamma=90.00
Fractional coordinates of all 5 atoms:
1 Li 0.000 0.000 0.000
2 Fe 0.500 0.500 0.000
3 H 0.000 0.000 0.500
4 Pt 0.000 0.500 0.500
5 Pt 0.500 0.000 0.500

Density of states at the Fermi level ... 3.00 states/eV/cell
Total moment ... 3.801 μB per cell
Symmetry ... P4/mmm (123)

=====

arrangement Q ends up most stable, edging out the next structure by 61 meV/atom.

=====

Arrangement P

An optimized crystal structure of Lu2FeH. Source: Alexandria via LeMat-Bulk, functional PBE.

Unit cell a=3.136 b=3.136 c=6.764 alpha=90.00 beta=90.00 gamma=90.00
Fractional coordinates of all 4 atoms:
1 Lu 0.000 0.000 0.238
2 Lu 0.000 0.000 0.762
3 Fe 0.500 0.500 0.000
4 H 0.500 0.500 0.500

Density of states at the Fermi level ... 1.83 states/eV/cell
Total moment ... 0.000 μB per cell
Symmetry ... P4/mmm (123)

=====

Arrangement Q

An optimized crystal structure of Lu2FeH. Source: Alexandria via LeMat-Bulk, functional PBE.

Unit cell a=8.300 b=8.300 c=8.300 alpha=22.37 beta=22.37 gamma=22.37
Fractional coordinates of all 4 atoms:
1 Lu 0.110 0.110 0.110
2 Lu 0.890 0.890 0.890
3 Fe 0.000 0.000 0.000
4 H 0.500 0.500 0.500

Density of states at the Fermi level ... 3.48 states/eV/cell
Total moment ... 2.424 μB per cell
Symmetry ... R-3m (166)

=====

arrangement P ends up most stable, edging out the next structure by 337 meV/atom.